i) CaSc2Mo at its PBEsol-relaxed geometry, computed with meta-GGA SCAN.

It has space group Immm (No. 71), with a = 3.2538 Å, b = 5.6702 Å, c = 10.1742 Å, α = 90.00°, β = 90.00° and γ = 90.00°. The distinct sites, in fractional coordinates, are Ca at (0.0000, 0.0000, 0.0000), Sc at (0.0000, 0.5000, 0.2033) and Mo at (0.0000, 0.0000, 0.5000).

For the total magnetization, the calculation gives 0.000 μB per formula unit.

=====

ii) CaSc2Mo at its PBEsol-relaxed geometry, computed with meta-GGA SCAN.

It has space group F-43m (No. 216), with a = 7.0003 Å, b = 7.0003 Å, c = 7.0003 Å, α = 90.00°, β = 90.00° and γ = 90.00°. The distinct sites, in fractional coordinates, are Ca at (0.0000, 0.0000, 0.0000), Sc at (0.0000, 0.0000, 0.5000), Sc at (0.2500, 0.2500, 0.7500) and Mo at (0.2500, 0.2500, 0.2500).

For the total magnetization, the calculation gives 0.000 μB per formula unit.

=====

iii) CaSc2Mo at its PBEsol-relaxed geometry, computed with meta-GGA SCAN.

It has space group P4mm (No. 99), with a = 3.5544 Å, b = 3.5544 Å, c = 7.5319 Å, α = 90.00°, β = 90.00° and γ = 90.00°. The distinct sites, in fractional coordinates, are Ca at (0.0000, 0.0000, 0.0000), Sc at (0.0000, 0.0000, 0.4122), Sc at (0.5000, 0.5000, 0.6473) and Mo at (0.5000, 0.5000, 0.2786).

For the total magnetization, the calculation gives 0.001 μB per formula unit.

=====

iii) is the most stable structure; the next one sits 13 meV per atom above it.